[1]
Compound: KGaHg2
Source: Alexandria via LeMat-Bulk
Functional: PBE
Structure: relaxed

Lattice parameters (Å, degrees): 3.761 3.761 7.990 90.00 90.00 90.00
Fractional coordinates of all 4 atoms:
1 K 0.000 0.000 0.000
2 Ga 0.000 0.000 0.500
3 Hg 0.500 0.500 0.295
4 Hg 0.500 0.500 0.705

As for the spin magnetization: 0.00 Bohr magnetons per cell. As for the formation energy from the elements: -0.094 eV/atom. As for the volume: 28.25 A^3/atom. The space group is P4/mmm, No. 123. The density of states at the Fermi level comes out at 1.71 states/eV/cell. Its raw total energy is -5.10 eV per cell.


[2]
Compound: Y8Pt2Rh
Source: Alexandria via LeMat-Bulk
Functional: PBE
Structure: relaxed

Lattice parameters (Å, degrees): 7.597 7.597 6.018 100.48 100.48 112.26
Fractional coordinates of all 11 atoms:
1 Y 0.000 0.000 0.000
2 Y 0.021 0.279 0.584
3 Y 0.146 0.573 0.178
4 Y 0.279 0.021 0.584
5 Y 0.435 0.692 0.789
6 Y 0.573 0.146 0.178
7 Y 0.692 0.435 0.789
8 Y 0.716 0.716 0.358
9 Pt 0.042 0.668 0.679
10 Pt 0.668 0.042 0.679
11 Rh 0.358 0.358 0.019

As for the spin magnetization: 0.00 Bohr magnetons per cell. As for the formation energy from the elements: -0.549 eV/atom. As for the volume: 27.62 A^3/atom. The space group is Cm, No. 8. The density of states at the Fermi level comes out at 12.33 states/eV/cell. Its raw total energy is -77.19 eV per cell.


[3]
Compound: MnZn2
Source: Alexandria via LeMat-Bulk
Functional: PBE
Structure: relaxed

Lattice parameters (Å, degrees): 11.786 11.786 11.786 161.51 161.51 26.26
Fractional coordinates of all 12 atoms:
1 Mn 0.293 0.543 0.750
2 Mn 0.457 0.707 0.750
3 Mn 0.543 0.293 0.250
4 Mn 0.707 0.457 0.250
5 Zn 0.039 0.789 0.250
6 Zn 0.126 0.376 0.750
7 Zn 0.211 0.961 0.250
8 Zn 0.376 0.126 0.250
9 Zn 0.624 0.874 0.750
10 Zn 0.789 0.039 0.750
11 Zn 0.874 0.624 0.250
12 Zn 0.961 0.211 0.750

As for the spin magnetization: 10.86 Bohr magnetons per cell. As for the formation energy from the elements: 0.017 eV/atom. As for the volume: 13.71 A^3/atom. The space group is I4_1/amd, No. 141. The density of states at the Fermi level comes out at 9.09 states/eV/cell. Its raw total energy is -46.67 eV per cell.


[4]
Compound: TbYErZn
Source: Alexandria via LeMat-Bulk
Functional: PBE
Structure: relaxed

Lattice parameters (Å, degrees): 3.559 3.559 8.619 90.00 90.00 90.00
Fractional coordinates of all 4 atoms:
1 Tb 0.000 0.000 0.000
2 Y 0.500 0.500 0.702
3 Er 0.500 0.500 0.291
4 Zn 0.000 0.000 0.492

As for the spin magnetization: 0.00 Bohr magnetons per cell. As for the formation energy from the elements: -0.164 eV/atom. As for the volume: 27.29 A^3/atom. The space group is P4mm, No. 99. The density of states at the Fermi level comes out at 4.45 states/eV/cell. Its raw total energy is -17.59 eV per cell.


Copy entry 1 word for word.
Compound: KGaHg2
Source: Alexandria via LeMat-Bulk
Functional: PBE
Structure: relaxed

Lattice parameters (Å, degrees): 3.761 3.761 7.990 90.00 90.00 90.00
Fractional coordinates of all 4 atoms:
1 K 0.000 0.000 0.000
2 Ga 0.000 0.000 0.500
3 Hg 0.500 0.500 0.295
4 Hg 0.500 0.500 0.705

As for the spin magnetization: 0.00 Bohr magnetons per cell. As for the formation energy from the elements: -0.094 eV/atom. As for the volume: 28.25 A^3/atom. The space group is P4/mmm, No. 123. The density of states at the Fermi level comes out at 1.71 states/eV/cell. Its raw total energy is -5.10 eV per cell.


Please write out number 4 again, unchanged.
Compound: TbYErZn
Source: Alexandria via LeMat-Bulk
Functional: PBE
Structure: relaxed

Lattice parameters (Å, degrees): 3.559 3.559 8.619 90.00 90.00 90.00
Fractional coordinates of all 4 atoms:
1 Tb 0.000 0.000 0.000
2 Y 0.500 0.500 0.702
3 Er 0.500 0.500 0.291
4 Zn 0.000 0.000 0.492

As for the spin magnetization: 0.00 Bohr magnetons per cell. As for the formation energy from the elements: -0.164 eV/atom. As for the volume: 27.29 A^3/atom. The space group is P4mm, No. 99. The density of states at the Fermi level comes out at 4.45 states/eV/cell. Its raw total energy is -17.59 eV per cell.


raw total energy of number 1 (KGaHg2)?
-5.10 eV per cell